The following is a DFT calculation (GGA-PBE) of crystalline TcNiIr2 at its relaxed geometry.

It has space group Imm2 (No. 44), with a = 2.780 Å, b = 4.357 Å, c = 9.129 Å, α = 90.00°, β = 90.00° and γ = 90.00°. The inequivalent atoms are Tc at (0.000, 0.000, 0.000), Ni at (0.000, 0.500, 0.280), Ir at (0.000, 0.000, 0.555) and Ir at (0.000, 0.500, 0.778).

The distance to the lowest polymorph of the same formula is 275 meV/atom. The electronic total energy comes out at -8.3140 eV per atom. As for the density of states at the Fermi level: 9.299 states/eV per cell. As for the formation energy: 0.61 eV/f.u.